No. 1
In2ReTc, optimized geometry, DFT PBEsol; energy of formation = 624 meV per atom; volume = 68 Å³ per cell; offset from the most stable computed form = 0.4571 eV/atom; SG = Pmmm (47)
1.0
3.1104 0.0000 0.0000
0.0000 4.5543 0.0000
0.0000 0.0000 4.8214
In Re Tc
2 1 1
Direct
0.0000 0.0000 0.0000
0.5000 0.0000 0.5000
0.5000 0.5000 0.0000
0.0000 0.5000 0.5000


No. 2
FeH2O2, optimized geometry, DFT PBEsol; volume = 38 Å³ per cell; SG = P-3m1 (164); E = -0.4483 Ry per atom
1.0
-0.5865 2.2578 2.0700
-2.3228 -0.3322 2.0544
2.8908 -1.9557 2.9487
H Fe O
2 1 2
Direct
0.1665 0.1665 0.5445
0.8335 0.8335 0.4555
0.5000 0.5000 0.0000
0.1666 0.1666 0.7595
0.8334 0.8334 0.2405


No. 3
CaZn2Cu, optimized geometry, DFT PBEsol; energy of formation = -171 meV per atom; volume = 76 Å³ per cell; SG = R-3m (166)
1.0
4.1918 0.0000 0.0000
2.0959 3.6302 0.0000
2.0959 1.2101 5.0216
Zn Ca Cu
2 1 1
Direct
0.1986 0.1986 0.4044
0.8014 0.8014 0.5956
0.0000 0.0000 0.0000
0.5000 0.5000 0.5000